# 1
Density functional theory data (GGA-PBE) for a relaxed structure of Sm2SO.

Magnetization in μB per cell: 0.00
Energy relative to the elements, uncorrected in eV per atom: -1.996
Symmetry: R-3m, No. 166
Final energy in eV per cell: -26.51

Cell: 7.7637 7.7637 7.7637 Å, 30.37 30.37 30.37°
Sites, in units of the cell vectors:
Sm: 0.0940 0.0940 0.0940
Sm: 0.9060 0.9060 0.9060
S: 0.5000 0.5000 0.5000
O: 0.0000 0.0000 0.0000

***

# 2
Density functional theory data (GGA-PBE) for a relaxed structure of SmSO4.

Magnetization in μB per cell: 0.00
Energy relative to the elements, uncorrected in eV per atom: -1.864
Symmetry: I4_1/amd, No. 141
Final energy in eV per cell: -79.73

Cell: 6.0445 6.0445 6.0445 Å, 105.93 105.93 116.81°
Sites, in units of the cell vectors:
Sm: 0.3750 0.6250 0.7500
Sm: 0.6250 0.3750 0.2500
S: 0.1250 0.8750 0.2500
S: 0.8750 0.1250 0.7500
O: 0.1276 0.7064 0.4212
O: 0.2148 0.2936 0.9212
O: 0.2936 0.2148 0.4212
O: 0.2936 0.8724 0.0788
O: 0.7064 0.1276 0.9212
O: 0.7064 0.7852 0.5788
O: 0.7852 0.7064 0.0788
O: 0.8724 0.2936 0.5788

***

Question: Which of these has the lowest energy relative to the elements, uncorrected?
Answer: Sm2SO